1.
Entry from the Alexandria database: SrVSe3 after structural relaxation (PBE).

Lattice parameters (Å, degrees): 5.6995 5.6995 5.6995 90.00 90.00 90.00
Closest atoms and distances in Å follow each position.
Element x y z (fractional)
Sr  0.0000  0.0000  0.0000  6 Se 2.85
V  0.5000  0.5000  0.5000  12 Se 4.03
Se  0.0000  0.0000  0.5000  2 Sr 2.85
Se  0.0000  0.5000  0.0000  2 Sr 2.85
Se  0.5000  0.0000  0.0000  2 Sr 2.85

## Properties
* energy above the most stable polymorph in this dataset: 7.35 eV/f.u.
* raw formation energy: 49.9 kJ per mole of atoms
* N(E_F): 1.895 states/eV per atom

2.
Entry from the Alexandria database: Pr8Sm5Sc after structural relaxation (PBE).

Lattice parameters (Å, degrees): 8.9766 8.9766 8.7196 118.27 118.27 57.00
Closest atoms and distances in Å follow each position.
Element x y z (fractional)
Pr  0.0248  0.5904  0.4251  5 Pr 3.38-3.72, 5 Sm 3.40-3.67
Pr  0.1239  0.1239  0.1838  1 Sc 3.34, 4 Pr 3.45-3.51
Pr  0.2322  0.4380  0.7940  1 Sc 3.21, 2 Sm 3.38-3.48, 4 Pr 3.38-3.52
Pr  0.4096  0.9752  0.5749  5 Pr 3.38-3.72, 5 Sm 3.40-3.67
Pr  0.5195  0.1106  0.0784  1 Sc 3.35, 3 Pr 3.52-3.75, 2 Sm 3.54-3.66
Pr  0.5620  0.7678  0.2060  1 Sc 3.21, 2 Sm 3.38-3.48, 4 Pr 3.38-3.52
Pr  0.8761  0.8761  0.8162  1 Sc 3.34, 4 Pr 3.45-3.51
Pr  0.8894  0.4805  0.9216  1 Sc 3.35, 3 Pr 3.52-3.75, 2 Sm 3.54-3.66
Sm  0.2478  0.6543  0.2371  5 Pr 3.38-3.66, 2 Sm 3.49-3.57
Sm  0.3457  0.7522  0.7629  5 Pr 3.38-3.66, 2 Sm 3.49-3.57
Sm  0.5198  0.2781  0.5371  3 Sm 3.34-3.58, 1 Sc 3.47, 4 Pr 3.48-3.67
Sm  0.7219  0.4802  0.4629  3 Sm 3.34-3.58, 1 Sc 3.47, 4 Pr 3.48-3.67
Sm  0.9502  0.0498  0.5000  4 Sm 3.34-3.57, 2 Pr 3.57
Sc  0.6675  0.3325  0.0000  6 Pr 3.21-3.35, 2 Sm 3.47

## Properties
* formation energy: 0.1699 eV/atom
* N(E_F): 1.559 states/eV per atom

3.
Entry from the Alexandria database: CsTh3Te6 after structural relaxation (PBE).

Lattice parameters (Å, degrees): 13.8395 4.5280 13.9802 90.00 107.99 90.00
Closest atoms and distances in Å follow each position.
Element x y z (fractional)
Cs  0.1085  0.2500  0.3783  8 Te 3.80-4.14
Cs  0.8915  0.7500  0.6217  8 Te 3.80-4.14
Th  0.1578  0.2500  0.0413  6 Te 3.10-3.17
Th  0.2900  0.7500  0.7337  6 Te 3.11-3.21
Th  0.4728  0.7500  0.3686  6 Te 3.14-3.24
Th  0.5272  0.2500  0.6314  6 Te 3.14-3.24
Th  0.7100  0.2500  0.2663  6 Te 3.11-3.21
Th  0.8422  0.7500  0.9587  6 Te 3.10-3.17
Te  0.0526  0.7500  0.1327  3 Th 3.17
Te  0.1312  0.2500  0.6565  2 Th 3.11
Te  0.2561  0.7500  0.9509  3 Th 3.10-3.21
Te  0.3221  0.2500  0.2532  3 Th 3.13-3.16
Te  0.3578  0.7500  0.5354  4 Th 3.19-3.24
Te  0.4495  0.2500  0.8203  3 Th 3.13-3.14
Te  0.5505  0.7500  0.1797  3 Th 3.13-3.14
Te  0.6422  0.2500  0.4646  4 Th 3.19-3.24
Te  0.6779  0.7500  0.7468  3 Th 3.13-3.16
Te  0.7439  0.2500  0.0491  3 Th 3.10-3.21
Te  0.8688  0.7500  0.3435  2 Th 3.11
Te  0.9474  0.2500  0.8673  3 Th 3.17

## Properties
* raw formation energy: -112.4 kJ per mole of atoms
* N(E_F): 0.294 states/eV per atom

4.
Entry from the Alexandria database: RbVBrCl4 after structural relaxation (PBE).

Lattice parameters (Å, degrees): 8.4242 8.4242 9.5899 108.66 108.66 53.14
Closest atoms and distances in Å follow each position.
Element x y z (fractional)
Rb  0.1678  0.1678  0.2610  4 Cl 3.31-3.53, 1 Br 3.58
Rb  0.8322  0.8322  0.7390  4 Cl 3.31-3.53, 1 Br 3.58
V  0.1792  0.1792  0.7648  4 Cl 2.20-2.32
V  0.8208  0.8208  0.2352  4 Cl 2.20-2.32
Br  0.3061  0.3061  0.6519  1 V 2.51
Br  0.6939  0.6939  0.3481  1 V 2.51
Cl  0.0674  0.0674  0.8792  1 V 2.32
Cl  0.1270  0.6298  0.3518  1 V 2.20
Cl  0.2931  0.2931  0.9859  1 V 2.20
Cl  0.3702  0.8730  0.6482  1 V 2.20
Cl  0.6298  0.1270  0.3518  1 V 2.20
Cl  0.7069  0.7069  0.0141  1 V 2.20
Cl  0.8730  0.3702  0.6482  1 V 2.20
Cl  0.9326  0.9326  0.1208  1 V 2.32

## Properties
* raw formation energy: -126.3 kJ per mole of atoms
* N(E_F): 0.847 states/eV per atom

5.
Entry from the Alexandria database: KRb2Cl after structural relaxation (PBE).

Lattice parameters (Å, degrees): 12.4476 12.4476 12.4476 22.06 22.06 22.06
Closest atoms and distances in Å follow each position.
Element x y z (fractional)
K  0.0000  0.0000  0.0000  6 K 4.76, 6 Rb 4.95
Rb  0.2205  0.2205  0.2205  3 Cl 3.38
Rb  0.7795  0.7795  0.7795  3 Cl 3.38
Cl  0.5000  0.5000  0.5000  6 Rb 3.38

## Properties
* energy above the most stable polymorph in this dataset: 0.00 eV/f.u.
* raw formation energy: -89.4 kJ per mole of atoms
* N(E_F): 0.401 states/eV per atom

6.
Entry from the Alexandria database: AcTl2Cd2 after structural relaxation (PBE).

Lattice parameters (Å, degrees): 4.8984 4.8984 7.0137 110.29 110.29 89.94
Closest atoms and distances in Å follow each position.
Element x y z (fractional)
Ac  0.0000  0.0000  0.0000  8 Cd 3.71-3.73, 8 Tl 3.91-3.92
Tl  0.2498  0.7502  0.5000  4 Cd 2.98
Tl  0.7502  0.2498  0.5000  4 Cd 2.98
Cd  0.3886  0.3886  0.7788  1 Cd 2.70, 4 Tl 2.98
Cd  0.6114  0.6114  0.2212  1 Cd 2.70, 4 Tl 2.98

## Properties
* energy above the most stable polymorph in this dataset: 0.00 eV/f.u.
* formation energy: -0.2047 eV/atom
* N(E_F): 0.344 states/eV per atom